# 1
A plane-wave DFT calculation with PBE-GGA was carried out for crystalline TaCuHgBi at its relaxed geometry.

```
TaCuHgBi
1.0
6.963 0.000 0.000
0.000 6.963 0.000
0.000 0.000 6.963
Ta Cu Hg Bi
4 4 4 4
Direct
0.000 0.000 0.000 Ta
0.000 0.500 0.500 Ta
0.500 0.000 0.500 Ta
0.500 0.500 0.000 Ta
0.250 0.250 0.750 Cu
0.250 0.750 0.250 Cu
0.750 0.250 0.250 Cu
0.750 0.750 0.750 Cu
0.250 0.250 0.250 Hg
0.250 0.750 0.750 Hg
0.750 0.250 0.750 Hg
0.750 0.750 0.250 Hg
0.000 0.000 0.500 Bi
0.000 0.500 0.000 Bi
0.500 0.000 0.000 Bi
0.500 0.500 0.500 Bi
```

Energy above the lowest structure with this stoichiometry, meV per atom: 159
Total magnetization, μB/cell: 4.9

---

# 2
A plane-wave DFT calculation with PBE-GGA was carried out for crystalline TaCuHgBi at its relaxed geometry.

```
TaCuHgBi
1.0
6.895 0.000 0.000
0.000 6.895 0.000
0.000 0.000 6.895
Ta Cu Hg Bi
4 4 4 4
Direct
0.000 0.000 0.000 Ta
0.000 0.500 0.500 Ta
0.500 0.000 0.500 Ta
0.500 0.500 0.000 Ta
0.000 0.000 0.500 Cu
0.000 0.500 0.000 Cu
0.500 0.000 0.000 Cu
0.500 0.500 0.500 Cu
0.250 0.250 0.750 Hg
0.250 0.750 0.250 Hg
0.750 0.250 0.250 Hg
0.750 0.750 0.750 Hg
0.250 0.250 0.250 Bi
0.250 0.750 0.750 Bi
0.750 0.250 0.750 Bi
0.750 0.750 0.250 Bi
```

Energy above the lowest structure with this stoichiometry, meV per atom: 0
Total magnetization, μB/cell: 0.0

---

# 3
A plane-wave DFT calculation with PBE-GGA was carried out for crystalline YCuHgBi at its relaxed geometry.

```
YCuHgBi
1.0
7.259 0.000 0.000
0.000 7.259 0.000
0.000 0.000 7.259
Y Cu Hg Bi
4 4 4 4
Direct
0.000 0.000 0.000 Y
0.000 0.500 0.500 Y
0.500 0.000 0.500 Y
0.500 0.500 0.000 Y
0.250 0.250 0.250 Cu
0.250 0.750 0.750 Cu
0.750 0.250 0.750 Cu
0.750 0.750 0.250 Cu
0.250 0.250 0.750 Hg
0.250 0.750 0.250 Hg
0.750 0.250 0.250 Hg
0.750 0.750 0.750 Hg
0.000 0.000 0.500 Bi
0.000 0.500 0.000 Bi
0.500 0.000 0.000 Bi
0.500 0.500 0.500 Bi
```

Energy above the lowest structure with this stoichiometry, meV per atom: 0
Total magnetization, μB/cell: 0.0

---

# 4
A plane-wave DFT calculation with PBE-GGA was carried out for crystalline YCuHgBi at its relaxed geometry.

```
YCuHgBi
1.0
7.259 0.000 0.000
0.000 7.259 0.000
0.000 0.000 7.259
Y Cu Hg Bi
4 4 4 4
Direct
0.000 0.000 0.000 Y
0.000 0.500 0.500 Y
0.500 0.000 0.500 Y
0.500 0.500 0.000 Y
0.000 0.000 0.500 Cu
0.000 0.500 0.000 Cu
0.500 0.000 0.000 Cu
0.500 0.500 0.500 Cu
0.250 0.250 0.750 Hg
0.250 0.750 0.250 Hg
0.750 0.250 0.250 Hg
0.750 0.750 0.750 Hg
0.250 0.250 0.250 Bi
0.250 0.750 0.750 Bi
0.750 0.250 0.750 Bi
0.750 0.750 0.250 Bi
```

Energy above the lowest structure with this stoichiometry, meV per atom: 14
Total magnetization, μB/cell: 0.0

---

no.,V (A^3/atom)
1,21.1
2,20.5
3,23.9
4,23.9